A plane-wave DFT calculation with GGA-PBE was carried out for crystalline Cd2PtPb at its relaxed geometry.

a b c (Å): 8.324 8.324 5.679
angles (deg): 90.00 90.00 90.00
Fractional coordinates of all 16 atoms:
Cd: 0.199 0.750 0.125
Cd: 0.250 0.199 0.875
Cd: 0.250 0.301 0.375
Cd: 0.301 0.750 0.625
Cd: 0.699 0.250 0.625
Cd: 0.750 0.699 0.375
Cd: 0.750 0.801 0.875
Cd: 0.801 0.250 0.125
Pt: 0.000 0.000 0.000
Pt: 0.000 0.500 0.250
Pt: 0.500 0.000 0.750
Pt: 0.500 0.500 0.500
Pb: 0.000 0.000 0.500
Pb: 0.000 0.500 0.750
Pb: 0.500 0.000 0.250
Pb: 0.500 0.500 0.000

ρ: 10.6 g cm⁻³
M_tot: 0.00 μB per cell
energy of formation: 2.33 kJ per mole of atoms
D(E_F): 0.377 states/eV per atom